# 1
PBE KCuIN2, optimized geometry; raw formation energy = 2038 meV per atom; density of states at the Fermi level = 2.5 states/eV/f.u.; SG = P4/mmm, No. 123
1.0
4.945 0.000 0.000
0.000 4.945 0.000
0.000 0.000 7.004
K Cu I N
1 1 1 2
Cartesian
0.000 0.000 0.000
2.472 2.472 3.502
0.000 0.000 3.502
0.000 2.472 0.000
2.472 0.000 0.000


# 2
PBE KNaCuI3, optimized geometry; raw formation energy = -946 meV per atom; density of states at the Fermi level = 0.0 states/eV/f.u.; SG = Cmcm, No. 63
1.0
2.255 -7.636 0.000
2.255 7.636 0.000
0.000 0.000 12.406
K Na Cu I
2 2 2 6
Cartesian
2.255 3.821 9.305
2.255 -3.821 3.102
0.000 0.000 0.000
0.000 0.000 6.203
2.255 0.612 3.102
2.255 -0.612 9.305
2.255 6.703 3.102
2.255 2.080 0.926
2.255 2.080 5.277
2.255 -2.080 7.129
2.255 -2.080 11.480
2.255 -6.703 9.305


# 3
PBE K3NaCu2I6, optimized geometry; raw formation energy = -895 meV per atom; density of states at the Fermi level = 0.0 states/eV/f.u.; SG = P-3m1, No. 164
1.0
8.600 0.000 0.000
-4.300 7.448 0.000
0.000 0.000 9.175
K Na Cu I
3 1 2 6
Cartesian
0.000 0.000 0.000
0.000 4.965 5.778
4.300 2.483 3.397
0.000 0.000 4.588
0.000 4.965 2.427
4.300 2.483 6.749
0.000 2.457 2.574
-2.172 6.220 2.574
2.128 1.228 6.601
2.172 6.220 2.574
6.473 1.228 6.601
4.300 4.991 6.601


# 4
PBE KNa2CuI4, optimized geometry; raw formation energy = -1013 meV per atom; density of states at the Fermi level = 0.0 states/eV/f.u.; SG = Cmcm, No. 63
1.0
2.258 -7.761 0.000
2.258 7.761 0.000
0.000 0.000 16.344
K Na Cu I
2 4 2 8
Cartesian
2.258 5.975 12.258
2.258 -5.975 4.086
2.258 2.007 9.084
2.258 2.007 15.431
2.258 -2.007 0.913
2.258 -2.007 7.259
2.258 5.212 4.086
2.258 -5.212 12.258
0.000 0.000 0.000
0.000 0.000 8.172
2.258 3.636 1.964
2.258 3.636 6.207
2.258 1.082 12.258
2.258 -1.082 4.086
2.258 -3.636 10.136
2.258 -3.636 14.379


# 5
PBE K2NaCuI4, optimized geometry; raw formation energy = -999 meV per atom; density of states at the Fermi level = 0.0 states/eV/f.u.; SG = C2/c, No. 15
1.0
7.190 -6.331 0.000
7.190 6.331 0.000
-7.185 0.000 7.231
K Na Cu I
4 2 2 8
Cartesian
0.000 0.000 0.000
-3.593 0.000 3.616
3.595 3.165 0.000
0.003 -3.165 3.616
0.003 3.165 3.616
3.595 -3.165 0.000
7.190 0.000 0.000
3.598 0.000 3.616
-0.149 0.174 3.437
-3.741 -0.174 7.053
3.550 2.488 3.662
0.053 2.488 7.185
7.143 -2.488 0.046
3.646 -2.488 3.570
10.937 0.174 0.179
7.344 -0.174 3.795


# 6
PBE K2NdCuI6, optimized geometry; raw formation energy = -1075 meV per atom; density of states at the Fermi level = 0.0 states/eV/f.u.; SG = Fm-3m, No. 225
1.0
0.000 5.971 5.971
5.971 0.000 5.971
5.971 5.971 0.000
K Nd Cu I
2 1 1 6
Cartesian
2.986 2.986 2.986
8.957 8.957 8.957
0.000 0.000 0.000
5.971 5.971 5.971
5.971 5.971 3.103
5.971 3.103 5.971
8.839 5.971 5.971
3.103 5.971 5.971
5.971 8.839 5.971
5.971 5.971 8.839


# 7
PBE K2NdCuI6, optimized geometry; raw formation energy = -1134 meV per atom; density of states at the Fermi level = 0.0 states/eV/f.u.; SG = P2_1/c, No. 14
1.0
8.531 0.000 0.000
0.000 9.474 0.000
-8.332 0.000 10.686
K Nd Cu I
4 2 2 12
Cartesian
-0.192 0.964 2.635
-4.358 3.773 7.978
4.558 5.701 2.708
0.391 8.510 8.051
-4.166 0.000 5.343
0.000 4.737 0.000
4.266 0.000 0.000
0.100 4.737 5.343
-6.932 2.016 10.136
-2.766 2.721 4.793
-5.714 6.281 10.088
-1.547 7.931 4.745
-3.174 0.303 8.386
0.992 4.435 3.043
-0.793 5.040 7.642
3.373 9.172 2.300
1.747 1.544 5.941
5.913 3.193 0.598
2.965 6.753 5.892
7.131 7.458 0.549


# 8
PBE KCu2NiI6, optimized geometry; raw formation energy = -332 meV per atom; density of states at the Fermi level = 7.5 states/eV/f.u.; SG = C2/c, No. 15
1.0
7.523 -6.931 0.000
7.523 6.931 0.000
-3.344 0.000 7.519
K Cu Ni I
2 4 2 12
Cartesian
5.015 4.590 5.639
6.687 -4.590 1.880
1.896 0.797 6.176
3.568 -0.797 2.416
8.133 0.797 5.103
9.805 -0.797 1.344
6.687 4.381 1.880
5.015 -4.381 5.639
-0.562 0.971 5.158
2.414 3.107 7.419
1.110 -0.971 1.398
3.454 1.097 4.145
7.616 3.107 3.860
5.126 -1.097 0.385
6.575 1.097 7.134
4.086 -3.107 3.659
8.247 -1.097 3.374
10.592 0.971 6.121
9.288 -3.107 0.101
12.264 -0.971 2.361


# 9
PBE KNpCu2I6, optimized geometry; raw formation energy = -689 meV per atom; density of states at the Fermi level = 5.7 states/eV/f.u.; SG = C2/c, No. 15
1.0
8.120 -6.986 0.000
8.120 6.986 0.000
-4.400 0.000 8.062
K Np Cu I
2 2 4 12
Cartesian
4.820 5.338 6.046
7.020 -5.338 2.015
7.020 3.249 2.015
4.820 -3.249 6.046
4.086 2.111 0.889
1.886 -2.111 4.920
9.954 2.111 3.142
7.754 -2.111 7.173
-2.581 1.303 8.058
4.080 3.405 3.078
-0.381 -1.303 4.027
1.805 1.221 7.933
9.960 3.405 0.953
4.005 -1.221 3.902
7.835 1.221 4.160
1.880 -3.405 7.108
10.035 -1.221 0.129
12.221 1.303 4.034
7.760 -3.405 4.984
14.421 -1.303 0.004


# 10
PBE KNpCuI5, optimized geometry; raw formation energy = -807 meV per atom; density of states at the Fermi level = 6.1 states/eV/f.u.; SG = C2/c, No. 15
1.0
5.059 -6.661 0.000
5.059 6.661 0.000
-4.687 0.000 10.398
K Np Cu I
2 2 2 10
Cartesian
1.543 4.854 7.798
3.887 -4.854 2.599
5.059 0.000 0.000
2.715 0.000 5.199
3.887 4.115 2.599
1.543 -4.115 7.798
-2.518 0.989 9.726
2.041 2.736 3.855
-0.175 -0.989 4.528
1.543 1.270 7.798
5.733 2.736 1.344
-0.303 -2.736 9.054
3.887 -1.270 2.599
5.605 0.989 5.870
3.389 -2.736 6.543
7.949 -0.989 0.671


# 11
PBE KNpCu2I8, optimized geometry; raw formation energy = -582 meV per atom; density of states at the Fermi level = 12.7 states/eV/f.u.; SG = C2/m, No. 12
1.0
6.094 -4.176 0.000
6.094 4.176 0.000
-0.395 0.000 10.294
K Np Cu I
1 1 2 8
Cartesian
0.000 0.000 0.000
-0.197 0.000 5.147
4.106 0.000 7.521
7.687 0.000 2.772
2.767 0.000 5.277
5.968 2.058 3.016
5.824 2.058 7.278
3.128 0.000 9.824
8.665 0.000 0.470
5.968 -2.058 3.016
5.824 -2.058 7.278
9.026 0.000 5.017


# 12
PBE K4CuI2O20, optimized geometry; raw formation energy = -501 meV per atom; density of states at the Fermi level = 4.8 states/eV/f.u.; SG = P2_1/c, No. 14
1.0
7.761 0.000 0.000
0.000 11.528 0.000
-5.082 0.000 10.530
K Cu I O
8 2 4 40
Cartesian
-0.779 2.357 2.260
-3.320 3.407 7.525
2.726 6.286 1.585
0.185 11.006 6.850
2.494 0.522 3.680
-0.047 5.242 8.945
5.999 8.121 3.005
3.458 9.171 8.270
3.880 0.000 0.000
1.339 5.764 5.265
3.345 2.795 0.618
0.804 2.969 5.883
1.874 8.559 4.647
-0.667 8.733 9.912
-4.659 6.432 9.975
-2.117 10.860 4.710
-2.971 0.312 7.013
-0.430 5.452 1.748
-2.368 7.728 5.798
0.173 9.564 0.533
-2.416 6.836 6.751
0.125 10.456 1.486
0.821 0.043 1.290
-1.720 5.721 6.555
-2.224 7.858 9.591
0.317 9.434 4.326
0.127 1.690 4.758
-2.414 4.074 10.023
-1.903 1.505 9.720
0.638 4.259 4.455
1.139 6.902 3.839
-1.402 10.390 9.104
-0.383 2.796 7.243
2.159 2.968 1.977
0.520 8.560 8.553
3.061 8.732 3.288
4.081 1.138 1.426
1.540 4.626 6.692
2.041 7.269 6.075
4.582 10.023 0.810
5.093 7.454 0.507
2.552 9.838 5.772
2.361 2.094 6.204
4.902 3.670 0.939
4.399 5.807 3.975
1.858 11.485 9.240
2.554 1.072 9.044
5.095 4.692 3.779
2.505 1.964 9.997
5.046 3.800 4.732
3.108 6.076 8.782
5.649 11.216 3.517
4.796 0.668 5.820
7.337 5.096 0.555


# 13
PBE K3CuI2O8, optimized geometry; raw formation energy = -748 meV per atom; density of states at the Fermi level = 2.7 states/eV/f.u.; SG = P-3m1, No. 164
1.0
5.994 0.000 0.000
-2.997 5.191 0.000
0.000 0.000 7.753
K Cu I O
3 1 2 8
Cartesian
0.000 0.000 0.000
0.000 3.461 5.100
2.997 1.730 2.654
0.000 0.000 3.877
0.000 3.461 1.797
2.997 1.730 5.956
0.000 1.689 2.568
-1.534 4.346 2.568
1.463 0.845 5.185
0.000 3.461 7.675
2.997 1.730 0.078
1.534 4.346 2.568
4.531 0.845 5.185
2.997 3.502 5.185


# 14
PBE K2CuIO6, optimized geometry; raw formation energy = -755 meV per atom; density of states at the Fermi level = 7.8 states/eV/f.u.; SG = R-3m, No. 166
1.0
2.925 1.689 9.531
-2.925 1.689 9.531
0.000 -3.378 9.531
K Cu I O
4 2 2 12
Cartesian
0.000 0.000 3.613
0.000 0.000 8.002
0.000 0.000 20.591
0.000 0.000 24.980
0.000 0.000 11.548
0.000 0.000 17.046
0.000 0.000 0.000
0.000 0.000 14.297
-1.289 -0.744 13.117
0.000 -1.826 10.665
-1.581 0.913 10.665
-1.581 -0.913 17.928
0.000 -1.489 15.477
-1.289 0.744 15.477
1.289 -0.744 13.117
0.000 1.489 13.117
1.581 0.913 10.665
1.581 -0.913 17.928
0.000 1.826 17.928
1.289 0.744 15.477


# 15
PBE K5CuIO2, optimized geometry; raw formation energy = -1024 meV per atom; density of states at the Fermi level = 1.4 states/eV/f.u.; SG = P4/mmm, No. 123
1.0
5.508 0.000 0.000
0.000 5.508 0.000
0.000 0.000 9.027
K Cu I O
5 1 1 2
Cartesian
0.000 0.000 0.000
0.000 2.754 2.679
0.000 2.754 6.349
2.754 0.000 2.679
2.754 0.000 6.349
0.000 0.000 4.514
2.754 2.754 0.000
0.000 0.000 2.668
0.000 0.000 6.359


# 16
PBE K2CuIO4, optimized geometry; raw formation energy = -746 meV per atom; SG = I-4, No. 82
1.0
6.113 0.000 0.000
0.000 6.113 0.000
0.000 0.000 7.703
K Cu I O
4 2 2 8
Cartesian
0.000 0.000 0.000
0.000 3.056 1.926
3.056 0.000 5.777
3.056 3.056 3.851
0.000 3.056 5.777
3.056 0.000 1.926
0.000 0.000 3.851
3.056 3.056 0.000
0.927 1.471 4.888
1.471 5.185 2.815
1.586 3.984 6.666
2.129 1.586 1.037
3.984 4.527 1.037
4.527 2.129 6.666
4.642 0.927 2.815
5.185 4.642 4.888


# 17
PBE K3CuI2O9, optimized geometry; raw formation energy = -743 meV per atom; density of states at the Fermi level = 8.3 states/eV/f.u.; SG = P-3m1, No. 164
1.0
5.731 0.000 0.000
-2.865 4.963 0.000
0.000 0.000 7.051
K Cu I O
3 1 2 9
Cartesian
0.000 0.000 0.000
0.000 3.309 4.691
2.865 1.654 2.361
0.000 0.000 3.526
0.000 3.309 1.283
2.865 1.654 5.769
-1.433 2.482 0.000
0.000 1.712 2.277
-1.383 4.107 2.277
1.482 0.856 4.775
2.865 0.000 0.000
1.433 2.482 0.000
1.383 4.107 2.277
4.249 0.856 4.775
2.865 3.252 4.775


# 18
PBE K2CuOsI, optimized geometry; raw formation energy = 1026 meV per atom; density of states at the Fermi level = 2.0 states/eV/f.u.; SG = P4/mmm, No. 123
1.0
6.686 0.000 0.000
0.000 6.686 0.000
0.000 0.000 5.039
K Cu Os I
2 1 1 1
Cartesian
0.000 3.343 0.000
3.343 0.000 0.000
0.000 0.000 2.519
3.343 3.343 2.519
3.343 3.343 0.000